Computed, not measured: a relaxed structure of La3CoTe at the PBE level of DFT.

```
La3CoTe
1.0
4.651 0.000 0.000
0.000 7.265 -3.807
0.000 -0.214 8.514
La Co Te
6 2 2
Direct
0.196 0.009 0.150
0.195 0.374 0.697
0.196 0.764 0.506
0.696 0.047 0.857
0.695 0.658 0.049
0.695 0.412 0.404
0.695 0.659 0.704
0.196 0.763 0.850
0.696 0.035 0.461
0.195 0.387 0.093
```

Results
As for the calculated volume: 141.95 Å³/f.u. Its total magnetization is 0.00 μB per atom. Its energy relative to the elements, uncorrected is -0.65 eV per atom. As for the energy above the lowest structure with this stoichiometry: 0 meV per atom.

---

Computed, not measured: a relaxed structure of Mg2RhBr at the PBE level of DFT.

```
Mg2RhBr
1.0
-5.716 6.576 -1.568
-7.288 4.950 0.869
-4.931 7.175 1.606
Br Mg Rh
1 2 1
Direct
0.749 0.749 0.749
0.009 0.009 0.009
0.239 0.239 0.239
0.503 0.503 0.503
```

Results
As for the calculated volume: 82.70 Å³/f.u. Its total magnetization is 0.13 μB per atom. Its energy relative to the elements, uncorrected is -0.06 eV per atom. As for the energy above the lowest structure with this stoichiometry: 553 meV per atom.